Here is K2YMg2Te4 after structural relaxation from the Alexandria database. Energies are from PBE.

Cell lengths 8.606, 8.606, 8.623 Å; angles 107.27, 107.27, 30.26 degrees
Positions (direct):
K 0.126 0.126 0.052
K 0.874 0.874 0.948
Y 0.000 0.000 0.500
Mg 0.332 0.332 0.522
Mg 0.668 0.668 0.478
Te 0.205 0.205 0.690
Te 0.490 0.490 0.749
Te 0.510 0.510 0.251
Te 0.795 0.795 0.310

Mass density = 3.94 Mg/m³
Formation energy without anion corrections = -1.026 eV per atom